DFT (PBE) results for Ca4SmU3As8 after structural relaxation.

Output
Its crystal system is trigonal. The value obtained for the energy relative to the elements is -102.4 kJ/mol of atoms. The symmetry is R-3m.

abc: 8.364 8.383 8.364
angles: 119.92 120.00 90.00
Each line ends with the local moment (μB).
Element x y z (fractional)
Ca 0.000 0.000 0.500  -0.01
Ca 0.000 0.000 0.000  -0.01
Ca 0.500 0.000 0.500  -0.01
Ca 0.500 0.000 0.000  -0.01
As 0.257 0.270 0.513  -0.06
As 0.249 0.732 0.983  -0.06
As 0.249 0.732 0.497  -0.06
As 0.743 0.730 0.487  -0.06
As 0.751 0.268 0.017  -0.06
As 0.266 0.268 0.017  -0.06
As 0.751 0.268 0.503  -0.06
As 0.734 0.732 0.983  -0.06
Sm 0.000 0.500 0.000  0.00
U 0.500 0.500 0.500  1.81
U 0.500 0.500 0.000  1.81
U 0.000 0.500 0.500  1.81



DFT (PBE) results for PrNd8Bi6 after structural relaxation.

Output
Its crystal system is trigonal. The value obtained for the energy relative to the elements is -58.9 kJ/mol of atoms. The symmetry is R-3.

abc: 8.426 8.426 9.996
angles: 65.07 65.07 60.00
Element x y z (fractional)
Bi 0.268 0.598 0.202
Bi 0.067 0.732 0.798
Bi 0.933 0.268 0.202
Bi 0.402 0.067 0.798
Bi 0.732 0.402 0.798
Bi 0.598 0.933 0.202
Nd 0.877 0.546 0.367
Nd 0.333 0.333 0.000
Nd 0.790 0.123 0.633
Nd 0.546 0.210 0.367
Nd 0.123 0.454 0.633
Nd 0.454 0.790 0.633
Nd 0.667 0.667 0.000
Nd 0.210 0.877 0.367
Pr 0.000 0.000 0.000



Q: The highest energy relative to the elements belongs to which entry?
A: PrNd8Bi6



Q: Which of these has the highest energy relative to the elements?
A: PrNd8Bi6